Record 1
# CsNa2RuO4 PBE optimized geometry
data_CsNa2RuO4
_chemical_formula_sum 'Cs4 Na8 Ru4 O16'
_cell_length_a 11.651
_cell_length_b 8.447
_cell_length_c 8.189
_cell_angle_alpha 90.00
_cell_angle_beta 134.65
_cell_angle_gamma 90.00
_symmetry_space_group_name_H-M 'C 1 2/c 1'
_symmetry_Int_Tables_number 15
_symmetry_space_group_name_Hall '-C 2yc'
loop_
_atom_site_label
_atom_site_fract_x
_atom_site_fract_y
_atom_site_fract_z
_atom_site_occupancy
Cs1 0.250 0.250 0.000 1
Na1 0.000 0.000 0.000 1
Na2 0.250 0.250 0.500 1
Ru1 0.000 0.500 0.000 1
O1 0.000 0.284 0.050 1
O2 0.225 0.500 0.224 1
# M_tot: 0.125 μB/atom
# Fermi-level density of states: 5.3 states/eV/f.u.
# Energy relative to the elements, uncorrected: -1.09 eV/atom
# Mass density: 3985 kg/m3
# Electronic total energy: -5.162 eV per atom

---

Record 2
# CrP2Se PBE optimized geometry
data_CrP2Se
_chemical_formula_sum 'Cr2 P4 Se2'
_cell_length_a 4.354
_cell_length_b 4.354
_cell_length_c 6.147
_cell_angle_alpha 90.00
_cell_angle_beta 90.00
_cell_angle_gamma 90.00
_symmetry_space_group_name_H-M 'I -4 m 2'
_symmetry_Int_Tables_number 119
_symmetry_space_group_name_Hall 'I -4 -2'
loop_
_atom_site_label
_atom_site_fract_x
_atom_site_fract_y
_atom_site_fract_z
_atom_site_occupancy
Cr1 0.000 0.000 0.000 1
P1 0.000 0.000 0.500 1
P2 0.000 0.500 0.750 1
Se1 0.000 0.500 0.250 1
# M_tot: 0.341 μB/atom
# Fermi-level density of states: 3.2 states/eV/f.u.
# Energy relative to the elements, uncorrected: 0.55 eV/atom
# Mass density: 5499 kg/m3
# Electronic total energy: -5.429 eV per atom

---

Record 3
# DyNi12B4 PBE optimized geometry
data_DyNi12B4
_chemical_formula_sum 'Dy2 Ni24 B8'
_cell_length_a 7.238
_cell_length_b 7.238
_cell_length_c 7.238
_cell_angle_alpha 90.00
_cell_angle_beta 90.00
_cell_angle_gamma 90.00
_symmetry_space_group_name_H-M 'I m -3'
_symmetry_Int_Tables_number 204
_symmetry_space_group_name_Hall '-I 2 2 3'
loop_
_atom_site_label
_atom_site_fract_x
_atom_site_fract_y
_atom_site_fract_z
_atom_site_occupancy
Dy1 0.000 0.000 0.000 1
Ni1 0.000 0.333 0.182 1
B1 0.250 0.250 0.250 1
# Formation energy: -127 meV per atom
# M_tot: 0.000 μB/atom
# Fermi-level density of states: 4.8 states/eV/f.u.
# Mass density: 7972 kg/m3
# Electronic total energy: -6.050 eV per atom

---

Record 4
# Pr2RhAu PBE optimized geometry
data_Pr2RhAu
_chemical_formula_sum 'Pr4 Rh2 Au2'
_cell_length_a 5.911
_cell_length_b 4.581
_cell_length_c 8.020
_cell_angle_alpha 90.00
_cell_angle_beta 110.74
_cell_angle_gamma 90.00
_symmetry_space_group_name_H-M 'P 1 21/m 1'
_symmetry_Int_Tables_number 11
_symmetry_space_group_name_Hall '-P 2yb'
loop_
_atom_site_label
_atom_site_fract_x
_atom_site_fract_y
_atom_site_fract_z
_atom_site_occupancy
Pr1 0.215 0.250 0.437 1
Pr2 0.232 0.250 0.925 1
Rh1 0.324 0.750 0.710 1
Au1 0.331 0.750 0.210 1
# Formation energy: -740 meV per atom
# M_tot: 0.000 μB/atom
# Fermi-level density of states: 2.9 states/eV/f.u.
# Mass density: 9511 kg/m3
# Electronic total energy: -5.787 eV per atom

---

Record 5
# Pr2Al4Cu3Hg PBE optimized geometry
data_Pr2Al4Cu3Hg
_chemical_formula_sum 'Pr2 Al4 Cu3 Hg1'
_cell_length_a 4.317
_cell_length_b 4.317
_cell_length_c 10.420
_cell_angle_alpha 90.00
_cell_angle_beta 90.00
_cell_angle_gamma 90.00
_symmetry_space_group_name_H-M 'P -4 m 2'
_symmetry_Int_Tables_number 115
_symmetry_space_group_name_Hall 'P -4 -2'
loop_
_atom_site_label
_atom_site_fract_x
_atom_site_fract_y
_atom_site_fract_z
_atom_site_occupancy
Pr1 0.000 0.500 0.243 1
Al1 0.000 0.000 0.000 1
Al2 0.000 0.500 0.647 1
Al3 0.500 0.500 0.000 1
Cu1 0.000 0.500 0.879 1
Cu2 0.500 0.500 0.500 1
Hg1 0.000 0.000 0.500 1
# Formation energy: -390 meV per atom
# M_tot: 0.000 μB/atom
# Fermi-level density of states: 4.9 states/eV/f.u.
# Mass density: 6677 kg/m3
# Electronic total energy: -4.102 eV per atom

---

Record 6
# TbPrGe2Rh5 PBE optimized geometry
data_TbPrGe2Rh5
_chemical_formula_sum 'Tb1 Pr1 Ge2 Rh5'
_cell_length_a 4.224
_cell_length_b 4.224
_cell_length_c 9.034
_cell_angle_alpha 90.00
_cell_angle_beta 90.00
_cell_angle_gamma 90.00
_symmetry_space_group_name_H-M 'P 4/m m m'
_symmetry_Int_Tables_number 123
_symmetry_space_group_name_Hall '-P 4 2'
loop_
_atom_site_label
_atom_site_fract_x
_atom_site_fract_y
_atom_site_fract_z
_atom_site_occupancy
Tb1 0.000 0.000 0.000 1
Pr1 0.000 0.000 0.500 1
Ge1 0.500 0.500 0.140 1
Rh1 0.000 0.500 0.266 1
Rh2 0.500 0.500 0.500 1
# Formation energy: -676 meV per atom
# M_tot: 0.000 μB/atom
# Fermi-level density of states: 6.3 states/eV/f.u.
# Mass density: 9885 kg/m3
# Electronic total energy: -6.832 eV per atom

---

Copy entry 1 word for word.
# CsNa2RuO4 PBE optimized geometry
data_CsNa2RuO4
_chemical_formula_sum 'Cs4 Na8 Ru4 O16'
_cell_length_a 11.651
_cell_length_b 8.447
_cell_length_c 8.189
_cell_angle_alpha 90.00
_cell_angle_beta 134.65
_cell_angle_gamma 90.00
_symmetry_space_group_name_H-M 'C 1 2/c 1'
_symmetry_Int_Tables_number 15
_symmetry_space_group_name_Hall '-C 2yc'
loop_
_atom_site_label
_atom_site_fract_x
_atom_site_fract_y
_atom_site_fract_z
_atom_site_occupancy
Cs1 0.250 0.250 0.000 1
Na1 0.000 0.000 0.000 1
Na2 0.250 0.250 0.500 1
Ru1 0.000 0.500 0.000 1
O1 0.000 0.284 0.050 1
O2 0.225 0.500 0.224 1
# M_tot: 0.125 μB/atom
# Fermi-level density of states: 5.3 states/eV/f.u.
# Energy relative to the elements, uncorrected: -1.09 eV/atom
# Mass density: 3985 kg/m3
# Electronic total energy: -5.162 eV per atom